# Pm2Pr3Tm4 (PBE, optimized geometry)
data_Pm2Pr3Tm4
_cell_length_a 16.417
_cell_length_b 11.802
_cell_length_c 6.168
_cell_angle_alpha 90.00
_cell_angle_beta 97.56
_cell_angle_gamma 90.00
_space_group_name_H-M_alt 'C 1 2/c 1'
_space_group_IT_number 15
_space_group_name_Hall '-C 2yc'
loop_
_atom_site_label
_atom_site_type_symbol
_atom_site_fract_x
_atom_site_fract_y
_atom_site_fract_z
Pm1 Pm 0.113 0.131 0.288
Pr1 Pr 0.000 0.129 0.750
Pr2 Pr 0.162 0.356 0.593
Tm1 Tm 0.057 0.385 0.040
Tm2 Tm 0.231 0.116 0.861
# Relative energy among the computed polymorphs = 73 meV/atom
# Density = 7.8 Mg/m³

=====

# NbGa2Pt (PBE, optimized geometry)
data_NbGa2Pt
_cell_length_a 4.114
_cell_length_b 4.114
_cell_length_c 3.779
_cell_angle_alpha 90.00
_cell_angle_beta 90.00
_cell_angle_gamma 90.00
_space_group_name_H-M_alt 'P 4/m m m'
_space_group_IT_number 123
_space_group_name_Hall '-P 4 2'
loop_
_atom_site_label
_atom_site_type_symbol
_atom_site_fract_x
_atom_site_fract_y
_atom_site_fract_z
Nb1 Nb 0.000 0.000 0.000
Ga1 Ga 0.000 0.500 0.500
Pt1 Pt 0.500 0.500 0.000
# Density = 11.1 Mg/m³
# E_tot = -6.0045 eV/atom

=====

# ErMgTlIn (PBE, optimized geometry)
data_ErMgTlIn
_cell_length_a 4.480
_cell_length_b 4.649
_cell_length_c 4.680
_cell_angle_alpha 90.00
_cell_angle_beta 90.00
_cell_angle_gamma 90.00
_space_group_name_H-M_alt 'P m m m'
_space_group_IT_number 47
_space_group_name_Hall '-P 2 2'
loop_
_atom_site_label
_atom_site_type_symbol
_atom_site_fract_x
_atom_site_fract_y
_atom_site_fract_z
Er1 Er 0.000 0.000 0.000
Mg1 Mg 0.000 0.500 0.500
Tl1 Tl 0.500 0.000 0.500
In1 In 0.500 0.500 0.000
# Relative energy among the computed polymorphs = 0 meV/atom
# Density = 8.7 Mg/m³

=====

# Pm12Pr3Zr (PBE, optimized geometry)
data_Pm12Pr3Zr
_cell_length_a 5.132
_cell_length_b 5.132
_cell_length_c 20.529
_cell_angle_alpha 90.00
_cell_angle_beta 90.00
_cell_angle_gamma 90.00
_space_group_name_H-M_alt 'P 4/m m m'
_space_group_IT_number 123
_space_group_name_Hall '-P 4 2'
loop_
_atom_site_label
_atom_site_type_symbol
_atom_site_fract_x
_atom_site_fract_y
_atom_site_fract_z
Pm1 Pm 0.000 0.000 0.000
Pm2 Pm 0.000 0.000 0.245
Pm3 Pm 0.000 0.000 0.500
Pm4 Pm 0.000 0.500 0.116
Pm5 Pm 0.000 0.500 0.373
Pr1 Pr 0.500 0.500 0.246
Pr2 Pr 0.500 0.500 0.500
Zr1 Zr 0.500 0.500 0.000
# Density = 6.9 Mg/m³
# E_tot = -4.9506 eV/atom

=====

# YHgSO6 (PBE, optimized geometry)
data_YHgSO6
_cell_length_a 4.645
_cell_length_b 5.723
_cell_length_c 5.815
_cell_angle_alpha 72.60
_cell_angle_beta 83.90
_cell_angle_gamma 88.31
_space_group_name_H-M_alt 'P 1'
_space_group_IT_number 1
_space_group_name_Hall 'P 1'
loop_
_atom_site_label
_atom_site_type_symbol
_atom_site_fract_x
_atom_site_fract_y
_atom_site_fract_z
Y1 Y 0.000 0.000 0.000
Hg1 Hg 0.425 0.857 0.469
S1 S 0.036 0.384 0.403
O1 O 0.287 0.772 0.825
O2 O 0.348 0.381 0.411
O3 O 0.483 0.980 0.092
O4 O 0.884 0.262 0.649
O5 O 0.926 0.643 0.321
O6 O 0.949 0.251 0.234
# Density = 4.7 Mg/m³
# ΔE_f (raw) = -1.546 eV/atom

=====

# UVC (PBE, optimized geometry)
data_UVC
_cell_length_a 3.5856
_cell_length_b 3.5856
_cell_length_c 3.7952
_cell_angle_alpha 90.00
_cell_angle_beta 90.00
_cell_angle_gamma 120.00
_space_group_name_H-M_alt 'P -6 m 2'
_space_group_IT_number 187
_space_group_name_Hall 'P -6 2'
loop_
_atom_site_label
_atom_site_type_symbol
_atom_site_fract_x
_atom_site_fract_y
_atom_site_fract_z
U1 U 0.0000 0.0000 0.0000
V1 V 0.6667 0.3333 0.5000
C1 C 0.3333 0.6667 0.5000
# Relative energy among the computed polymorphs = 301 meV/atom
# Density = 11.8 Mg/m³

=====

# NiOsBr (PBE, optimized geometry)
data_NiOsBr
_cell_length_a 2.869
_cell_length_b 5.086
_cell_length_c 13.204
_cell_angle_alpha 90.00
_cell_angle_beta 90.00
_cell_angle_gamma 90.00
_space_group_name_H-M_alt 'F m m 2'
_space_group_IT_number 42
_space_group_name_Hall 'F 2 -2'
loop_
_atom_site_label
_atom_site_type_symbol
_atom_site_fract_x
_atom_site_fract_y
_atom_site_fract_z
Ni1 Ni 0.000 0.000 0.000
Os1 Os 0.000 0.000 0.648
Br1 Br 0.000 0.000 0.340
# Relative energy among the computed polymorphs = 155 meV/atom
# Density = 11.3 Mg/m³
# ΔE_f (raw) = 1.004 eV/atom

=====

# TcNiSe2 (PBE, optimized geometry)
data_TcNiSe2
_cell_length_a 5.877
_cell_length_b 6.886
_cell_length_c 6.970
_cell_angle_alpha 90.00
_cell_angle_beta 90.00
_cell_angle_gamma 90.00
_space_group_name_H-M_alt 'F m m m'
_space_group_IT_number 69
_space_group_name_Hall '-F 2 2'
loop_
_atom_site_label
_atom_site_type_symbol
_atom_site_fract_x
_atom_site_fract_y
_atom_site_fract_z
Tc1 Tc 0.000 0.000 0.000
Ni1 Ni 0.000 0.000 0.500
Se1 Se 0.000 0.250 0.250
# Relative energy among the computed polymorphs = 701 meV/atom
# Density = 7.4 Mg/m³
# ΔE_f (raw) = 0.424 eV/atom

=====

# SrSbW (PBE, optimized geometry)
data_SrSbW
_cell_length_a 3.576
_cell_length_b 3.576
_cell_length_c 11.980
_cell_angle_alpha 90.00
_cell_angle_beta 90.00
_cell_angle_gamma 90.00
_space_group_name_H-M_alt 'I 4 m m'
_space_group_IT_number 107
_space_group_name_Hall 'I 4 -2'
loop_
_atom_site_label
_atom_site_type_symbol
_atom_site_fract_x
_atom_site_fract_y
_atom_site_fract_z
Sr1 Sr 0.000 0.000 0.000
Sb1 Sb 0.000 0.000 0.289
W1 W 0.000 0.000 0.694
# Relative energy among the computed polymorphs = 0 meV/atom
# Density = 8.5 Mg/m³
# ΔE_f (raw) = 0.380 eV/atom

=====

# Ca2NdY (PBE, optimized geometry)
data_Ca2NdY
_cell_length_a 8.363
_cell_length_b 8.363
_cell_length_c 8.363
_cell_angle_alpha 90.00
_cell_angle_beta 90.00
_cell_angle_gamma 90.00
_space_group_name_H-M_alt 'F m -3 m'
_space_group_IT_number 225
_space_group_name_Hall '-F 4 2 3'
loop_
_atom_site_label
_atom_site_type_symbol
_atom_site_fract_x
_atom_site_fract_y
_atom_site_fract_z
Ca1 Ca 0.250 0.250 0.250
Nd1 Nd 0.000 0.000 0.000
Y1 Y 0.000 0.000 0.500
# Relative energy among the computed polymorphs = 38 meV/atom
# Density = 3.6 Mg/m³

=====

# V2NiBi (PBE, optimized geometry)
data_V2NiBi
_cell_length_a 7.077
_cell_length_b 7.077
_cell_length_c 5.354
_cell_angle_alpha 90.00
_cell_angle_beta 90.00
_cell_angle_gamma 90.00
_space_group_name_H-M_alt 'I -4 2 d'
_space_group_IT_number 122
_space_group_name_Hall 'I -4 2bw'
loop_
_atom_site_label
_atom_site_type_symbol
_atom_site_fract_x
_atom_site_fract_y
_atom_site_fract_z
V1 V 0.211 0.750 0.125
Ni1 Ni 0.000 0.000 0.000
Bi1 Bi 0.000 0.000 0.500
# Density = 9.2 Mg/m³
# E_tot = -6.4451 eV/atom

=====

# Tb4Pr3Sm2 (PBE, optimized geometry)
data_Tb4Pr3Sm2
_cell_length_a 16.555
_cell_length_b 11.875
_cell_length_c 6.198
_cell_angle_alpha 90.00
_cell_angle_beta 97.49
_cell_angle_gamma 90.00
_space_group_name_H-M_alt 'C 1 2/c 1'
_space_group_IT_number 15
_space_group_name_Hall '-C 2yc'
loop_
_atom_site_label
_atom_site_type_symbol
_atom_site_fract_x
_atom_site_fract_y
_atom_site_fract_z
Tb1 Tb 0.057 0.120 0.036
Tb2 Tb 0.227 0.379 0.866
Pr1 Pr 0.000 0.367 0.750
Pr2 Pr 0.165 0.137 0.586
Sm1 Sm 0.111 0.376 0.295
# Relative energy among the computed polymorphs = 0 meV/atom
# Density = 7.5 Mg/m³

=====

# AlAg2Rh (PBE, optimized geometry)
data_AlAg2Rh
_cell_length_a 5.391
_cell_length_b 8.174
_cell_length_c 2.928
_cell_angle_alpha 90.00
_cell_angle_beta 90.00
_cell_angle_gamma 90.00
_space_group_name_H-M_alt 'C m m m'
_space_group_IT_number 65
_space_group_name_Hall '-C 2 2'
loop_
_atom_site_label
_atom_site_type_symbol
_atom_site_fract_x
_atom_site_fract_y
_atom_site_fract_z
Al1 Al 0.000 0.000 0.000
Ag1 Ag 0.250 0.250 0.500
Rh1 Rh 0.000 0.500 0.000
# Density = 8.9 Mg/m³
# E_tot = -4.2178 eV/atom

=====

# Co2CuSnH (PBE, optimized geometry)
data_Co2CuSnH
_cell_length_a 3.840
_cell_length_b 3.840
_cell_length_c 3.681
_cell_angle_alpha 90.00
_cell_angle_beta 90.00
_cell_angle_gamma 90.00
_space_group_name_H-M_alt 'P 4/m m m'
_space_group_IT_number 123
_space_group_name_Hall '-P 4 2'
loop_
_atom_site_label
_atom_site_type_symbol
_atom_site_fract_x
_atom_site_fract_y
_atom_site_fract_z
Co1 Co 0.000 0.500 0.000
Cu1 Cu 0.000 0.000 0.500
Sn1 Sn 0.500 0.500 0.500
H1 H 0.000 0.000 0.000
# Density = 9.2 Mg/m³
# E_tot = -5.1040 eV/atom

=====

# MgSc2V (PBE, optimized geometry)
data_MgSc2V
_cell_length_a 3.390
_cell_length_b 3.390
_cell_length_c 7.483
_cell_angle_alpha 90.00
_cell_angle_beta 90.00
_cell_angle_gamma 90.00
_space_group_name_H-M_alt 'P 4/m m m'
_space_group_IT_number 123
_space_group_name_Hall '-P 4 2'
loop_
_atom_site_label
_atom_site_type_symbol
_atom_site_fract_x
_atom_site_fract_y
_atom_site_fract_z
Mg1 Mg 0.000 0.000 0.000
Sc1 Sc 0.500 0.500 0.287
V1 V 0.000 0.000 0.500
# Density = 3.2 Mg/m³
# E_tot = -5.7601 eV/atom

=====

# Ac12La5Tb (PBE, optimized geometry)
data_Ac12La5Tb
_cell_length_a 6.809
_cell_length_b 11.783
_cell_length_c 19.079
_cell_angle_alpha 90.00
_cell_angle_beta 96.85
_cell_angle_gamma 90.00
_space_group_name_H-M_alt 'C 1 2/m 1'
_space_group_IT_number 12
_space_group_name_Hall '-C 2y'
loop_
_atom_site_label
_atom_site_type_symbol
_atom_site_fract_x
_atom_site_fract_y
_atom_site_fract_z
Ac1 Ac 0.111 0.166 0.337
Ac2 Ac 0.114 0.500 0.337
Ac3 Ac 0.221 0.333 0.164
Ac4 Ac 0.222 0.000 0.164
La1 La 0.000 0.167 0.000
La2 La 0.000 0.333 0.500
La3 La 0.000 0.500 0.000
Tb1 Tb 0.000 0.000 0.500
# Density = 7.8 Mg/m³
# E_tot = -4.3431 eV/atom

=====

# Al2AsCl (PBE, optimized geometry)
data_Al2AsCl
_cell_length_a 3.665
_cell_length_b 5.044
_cell_length_c 9.439
_cell_angle_alpha 90.00
_cell_angle_beta 90.00
_cell_angle_gamma 90.00
_space_group_name_H-M_alt 'C m m 2'
_space_group_IT_number 35
_space_group_name_Hall 'C 2 -2'
loop_
_atom_site_label
_atom_site_type_symbol
_atom_site_fract_x
_atom_site_fract_y
_atom_site_fract_z
Al1 Al 0.000 0.000 0.000
Al2 Al 0.000 0.500 0.215
As1 As 0.000 0.000 0.406
Cl1 Cl 0.000 0.500 0.823
# Relative energy among the computed polymorphs = 145 meV/atom
# Density = 3.1 Mg/m³
# ΔE_f (raw) = -0.178 eV/atom

=====

# SnN (PBE, optimized geometry)
data_SnN
_cell_length_a 4.473
_cell_length_b 5.758
_cell_length_c 4.948
_cell_angle_alpha 90.00
_cell_angle_beta 90.00
_cell_angle_gamma 90.00
_space_group_name_H-M_alt 'C m c m'
_space_group_IT_number 63
_space_group_name_Hall '-C 2c 2'
loop_
_atom_site_label
_atom_site_type_symbol
_atom_site_fract_x
_atom_site_fract_y
_atom_site_fract_z
Sn1 Sn 0.000 0.209 0.250
N1 N 0.000 0.174 0.750
# Density = 6.9 Mg/m³
# ΔE_f (raw) = 0.541 eV/atom

=====

# Ce6PN2Cl3 (PBE, optimized geometry)
data_Ce6PN2Cl3
_cell_length_a 17.616
_cell_length_b 3.742
_cell_length_c 8.237
_cell_angle_alpha 90.00
_cell_angle_beta 109.75
_cell_angle_gamma 90.00
_space_group_name_H-M_alt 'C 1 2/m 1'
_space_group_IT_number 12
_space_group_name_Hall '-C 2y'
loop_
_atom_site_label
_atom_site_type_symbol
_atom_site_fract_x
_atom_site_fract_y
_atom_site_fract_z
Ce1 Ce 0.021 0.000 0.255
Ce2 Ce 0.168 0.500 0.131
Ce3 Ce 0.180 0.500 0.556
P1 P 0.000 0.500 0.000
N1 N 0.172 0.000 0.342
Cl1 Cl 0.000 0.500 0.500
Cl2 Cl 0.160 0.000 0.834
# Density = 6.5 Mg/m³
# ΔE_f (raw) = -1.508 eV/atom

=====

# MgZr5N6 (PBE, optimized geometry)
data_MgZr5N6
_cell_length_a 5.614
_cell_length_b 9.718
_cell_length_c 5.620
_cell_angle_alpha 90.00
_cell_angle_beta 109.50
_cell_angle_gamma 90.00
_space_group_name_H-M_alt 'C 1 2/m 1'
_space_group_IT_number 12
_space_group_name_Hall '-C 2y'
loop_
_atom_site_label
_atom_site_type_symbol
_atom_site_fract_x
_atom_site_fract_y
_atom_site_fract_z
Mg1 Mg 0.000 0.000 0.000
Zr1 Zr 0.000 0.163 0.500
Zr2 Zr 0.000 0.334 0.000
Zr3 Zr 0.000 0.500 0.500
N1 N 0.245 0.000 0.757
N2 N 0.247 0.165 0.250
# Density = 6.5 Mg/m³
# ΔE_f (raw) = -1.586 eV/atom

=====

# Sc4SiAg (PBE, optimized geometry)
data_Sc4SiAg
_cell_length_a 8.019
_cell_length_b 8.019
_cell_length_c 8.019
_cell_angle_alpha 90.00
_cell_angle_beta 90.00
_cell_angle_gamma 90.00
_space_group_name_H-M_alt 'F -4 3 m'
_space_group_IT_number 216
_space_group_name_Hall 'F -4 2 3'
loop_
_atom_site_label
_atom_site_type_symbol
_atom_site_fract_x
_atom_site_fract_y
_atom_site_fract_z
Sc1 Sc 0.124 0.124 0.124
Si1 Si 0.250 0.250 0.750
Ag1 Ag 0.000 0.000 0.500
# Density = 4.1 Mg/m³
# ΔE_f (raw) = 0.343 eV/atom